Entry 1:
This record from Alexandria via LeMat-Bulk describes a relaxed NaPmPPt crystal. The functional is GGA-PBE.

Properties
Spin magnetization = 0.00 μB per formula unit
Formation energy = -0.626 eV/atom
Density of states at the Fermi level = 0.641 states/eV/atom

Unit cell a=4.9064 b=4.9064 c=4.9064 alpha=60.00 beta=60.00 gamma=60.00
Last column: nearest neighbours and their distance in Å.
Element x y z (fractional)
Pt  0.5000  0.5000  0.5000  4 Pm 3.00, 4 Na 3.00
Pm  0.2500  0.2500  0.2500  4 P 3.00, 4 Pt 3.00
Na  0.7500  0.7500  0.7500  4 Pt 3.00, 4 P 3.00
P  0.0000  0.0000  0.0000  4 Na 3.00, 4 Pm 3.00

Entry 2:
This record from Alexandria via LeMat-Bulk describes a relaxed NaPmP2Pt4 crystal. The functional is GGA-PBE.

Properties
Spin magnetization = 0.00 μB per formula unit
Formation energy = -0.680 eV/atom
Density of states at the Fermi level = 0.333 states/eV/atom

Unit cell a=4.0336 b=4.0336 c=10.0927 alpha=90.00 beta=90.00 gamma=90.00
Last column: nearest neighbours and their distance in Å.
Element x y z (fractional)
Pt  0.5000  0.0000  0.7759  2 P 2.35
Pt  0.0000  0.5000  0.7759  2 P 2.35
Na  0.0000  0.0000  0.5000  8 P 3.26, 8 Pt 3.44
P  0.5000  0.5000  0.3434  4 Pt 2.35
Pt  0.5000  0.0000  0.2241  2 P 2.35
P  0.5000  0.5000  0.6566  4 Pt 2.35
Pm  0.0000  0.0000  0.0000  8 Pt 3.03
Pt  0.0000  0.5000  0.2241  2 P 2.35

formation energy of number 2 (NaPmP2Pt4)?
-0.680 eV/atom

What is the formation energy in the second record?
-0.680 eV/atom